A plane-wave DFT calculation with PBE-GGA was carried out for a geometry-optimized HfZr structure.

The structure in POSCAR format:
```
HfZr
1.0
3.2080 0.0000 0.0000
0.0000 5.1113 0.0000
0.0000 0.0000 11.1466
Hf Zr
4 4
Direct
0.2500 0.2500 0.0391
0.2500 0.7500 0.2050
0.7500 0.2500 0.7950
0.7500 0.7500 0.9609
0.2500 0.2500 0.5442
0.2500 0.7500 0.7118
0.7500 0.2500 0.2882
0.7500 0.7500 0.4558
```

M_tot	0.02	μB per cell
excess energy over the best structure of this formula in the dataset	0	meV per atom
formation enthalpy at 0 K	0.0	eV/f.u.
final energy	-9.25	eV/atom